# 1
A plane-wave DFT calculation with GGA+U was carried out for a geometry-optimized LiMnCo3O8 structure. Values from VASP.

```
&SYSTEM
  ibrav = 0, nat = 26, ntyp = 4
/
ATOMIC_SPECIES
Li 6.94 Li.upf
O 16.00 O.upf
Co 58.93 Co.upf
Mn 54.94 Mn.upf
ATOMIC_POSITIONS angstrom
Li -1.9284 -2.3045 0.5500
Li 0.0829 0.7497 4.8981
O -2.8725 -1.2791 3.8378
O -1.8819 -3.3864 4.8619
O 1.8581 -2.1164 7.7982
O -2.8270 -4.8873 2.7080
O -3.5878 -1.6254 6.2543
O -4.5497 -3.1212 4.1130
O -1.8072 0.2751 6.0327
O -0.8167 -1.8322 7.0569
O -5.5473 -0.9950 3.0964
O 0.8957 -3.6122 5.6566
O -4.5850 0.5010 5.2380
O 0.8605 0.0099 6.7818
O -0.8623 1.7760 8.1866
O -0.1014 -1.4859 4.6403
O 0.1288 -0.3313 9.2099
O -3.8180 -2.7799 1.6848
Co -2.8499 -3.0833 3.2733
Co -0.8394 -0.0280 7.6214
Co -4.5672 -1.3100 4.6752
Co -3.5620 0.2172 6.8497
Co -1.7174 1.7728 1.4025
Co 0.8780 -1.8012 6.2194
Mn -3.6893 -3.1112 10.8946
Mn -1.8446 -1.5557 5.4473
CELL_PARAMETERS angstrom
-3.4349 3.5457 2.8049
-3.8557 -4.6103 1.0989
3.6013 -2.0466 6.9909
```

Results
Energy relative to the lowest polymorph listed for this composition (kJ/mol of formula units): 1.4
SG: C2/m, No. 12

# 2
A plane-wave DFT calculation with GGA+U was carried out for a geometry-optimized Li6Mn3CoO10 structure. Values from VASP.

```
&SYSTEM
  ibrav = 0, nat = 20, ntyp = 4
/
ATOMIC_SPECIES
O 16.00 O.upf
Li 6.94 Li.upf
Co 58.93 Co.upf
Mn 54.94 Mn.upf
ATOMIC_POSITIONS angstrom
O 0.0000 2.8829 15.7076
O 0.0000 1.4777 6.1921
O 0.0000 4.8836 4.0685
O 0.0000 4.7011 10.9625
O 0.0000 1.0241 21.1687
O 0.0000 3.0852 8.8893
O 0.0000 1.3285 13.5451
O 0.0000 2.6154 23.9453
O 0.0000 3.2736 1.3731
O 0.0000 4.4088 18.5502
Li 0.0000 4.7715 7.5658
Li 0.0000 3.0104 12.2212
Li 0.0000 4.3171 22.3549
Li 0.0000 2.7179 19.8589
Li 0.0000 1.5942 2.6224
Li 0.0000 1.1085 17.4702
Co 0.0000 1.4035 9.8644
Mn 0.0000 4.5947 14.7207
Mn 0.0000 4.9577 0.2878
Mn 0.0000 3.1813 5.1205
CELL_PARAMETERS angstrom
1.4368 2.4898 0.0550
-1.4368 2.4898 0.0550
0.0000 0.9528 24.7720
```

Results
Energy relative to the lowest polymorph listed for this composition (kJ/mol of formula units): 599.1
SG: Cm, No. 8

| no. | DFT total energy (eV/atom) |
| --- | --- |
| 1 | -6.0330 |
| 2 | -5.8347 |